[1]
Entry from the Alexandria database: crystalline B5C7 at its relaxed geometry (PBE).

```
B5C7
1.0
-5.2391 4.0899 -0.6952
-0.9362 6.5428 -2.8639
1.5189 -7.0301 0.3972
B C
5 7
direct
0.9737 0.3252 0.6485 B
0.5509 0.2871 0.2638 B
0.5375 0.1595 0.3780 B
0.0092 0.0058 0.0035 B
0.0111 0.6674 0.3437 B
0.1824 0.1427 0.0397 C
0.6206 0.9603 0.6603 C
0.4669 0.8418 0.6251 C
0.1232 0.7936 0.3296 C
0.6443 0.6154 0.0289 C
0.4977 0.4973 0.0004 C
0.1325 0.4540 0.6785 C
```

Results
* formation enthalpy at 0 K: 0.380 eV per atom
* calculated density: 2.9 Mg/m³
* energy above the lowest structure with this stoichiometry: 0.122 eV per atom
* DFT total energy: -93.39 eV per cell

[2]
Entry from the Alexandria database: crystalline Li2PuAlO4 at its relaxed geometry (PBE).

```
Li2PuAlO4
1.0
-2.5532 0.6181 -4.4661
-4.5297 -1.8043 -0.6655
-2.1073 4.2797 -1.2083
Li Pu Al O
2 1 1 4
direct
0.5000 0.7500 0.2500 Li
0.5000 0.2500 0.7500 Li
0.0000 0.0000 0.0000 Pu
0.0000 0.5000 0.5000 Al
0.5923 0.5537 0.8539 O
0.4077 0.1461 0.4463 O
0.0000 0.4463 0.1460 O
0.0000 0.8540 0.5537 O
```

Results
* calculated density: 6.6 Mg/m³
* formation energy without anion corrections: -2534 meV/atom
* DFT total energy: -62.01 eV per cell

Copy entry 2 word for word.
Entry from the Alexandria database: crystalline Li2PuAlO4 at its relaxed geometry (PBE).

```
Li2PuAlO4
1.0
-2.5532 0.6181 -4.4661
-4.5297 -1.8043 -0.6655
-2.1073 4.2797 -1.2083
Li Pu Al O
2 1 1 4
direct
0.5000 0.7500 0.2500 Li
0.5000 0.2500 0.7500 Li
0.0000 0.0000 0.0000 Pu
0.0000 0.5000 0.5000 Al
0.5923 0.5537 0.8539 O
0.4077 0.1461 0.4463 O
0.0000 0.4463 0.1460 O
0.0000 0.8540 0.5537 O
```

Results
* calculated density: 6.6 Mg/m³
* formation energy without anion corrections: -2534 meV/atom
* DFT total energy: -62.01 eV per cell

Q: The highest calculated density belongs to which entry?
A: Li2PuAlO4